Density functional theory data (GGA-PBE) for Ce2Zn6Au3 after structural relaxation.

a = 7.9071 Å, b = 7.9071 Å, c = 4.0699 Å
α = 90.00°, β = 90.00°, γ = 120.00°
Last column: nearest neighbours and their distance in Å.
Positions (direct):
Ce 0.3333 0.6667 0.0000  6 Au 3.17, 9 Zn 3.37-3.54
Ce 0.6667 0.3333 0.0000  6 Au 3.17, 9 Zn 3.37-3.54
Zn 0.0000 0.1857 0.0000  6 Zn 2.54-2.80, 2 Au 2.62
Zn 0.0000 0.7257 0.5000  3 Au 2.62-2.77, 4 Zn 2.80
Zn 0.1857 0.0000 0.0000  6 Zn 2.54-2.80, 2 Au 2.62
Zn 0.2743 0.2743 0.5000  3 Au 2.62-2.77, 4 Zn 2.80
Zn 0.7257 0.0000 0.5000  3 Au 2.62-2.77, 4 Zn 2.80
Zn 0.8143 0.8143 0.0000  6 Zn 2.54-2.80, 2 Au 2.62
Au 0.0000 0.3942 0.5000  5 Zn 2.62-2.77
Au 0.3942 0.0000 0.5000  5 Zn 2.62-2.77
Au 0.6058 0.6058 0.5000  5 Zn 2.62-2.77

Summary:
formation energy from the elements: -0.36 eV per atom
space group: P-62m (189)
Fermi-level density of states: 1.712 states/eV per atom